[1]
DFT (PBE) results for KCr2AgW after structural relaxation.

Summary:
The value obtained for the calculated total energy is -5.9683 eV per atom. The formation energy is 1261.4 meV per atom. As for the space group: P4/mmm, No. 123.

Unit cell a=4.7510 b=4.7510 c=5.4754 alpha=90.00 beta=90.00 gamma=90.00
Last column: nearest neighbours and their distance in Å.
Element x y z (fractional)
K 0.0000 0.0000 0.0000  4 Ag 3.36, 8 Cr 3.62
Cr 0.0000 0.5000 0.5000  2 W 2.38
Cr 0.5000 0.0000 0.5000  2 W 2.38
Ag 0.5000 0.5000 0.0000  2 W 2.74
W 0.5000 0.5000 0.5000  4 Cr 2.38



[2]
DFT (PBE) results for CeTePt5 after structural relaxation.

Summary:
The value obtained for the calculated total energy is -6.1674 eV per atom. As for the space group: Pnma, No. 62.

Unit cell a=9.3816 b=5.5436 c=10.4411 alpha=90.00 beta=90.00 gamma=90.00
Last column: nearest neighbours and their distance in Å.
Element x y z (fractional)
Ce 0.2253 0.2500 0.0293  3 Pt 2.74-3.07
Ce 0.2747 0.7500 0.5293  3 Pt 2.74-3.07
Ce 0.7253 0.2500 0.4707  3 Pt 2.74-3.07
Ce 0.7747 0.7500 0.9707  3 Pt 2.74-3.07
Te 0.1365 0.7500 0.8225  3 Pt 2.56-2.79
Te 0.3635 0.2500 0.3225  3 Pt 2.56-2.79
Te 0.6365 0.7500 0.6775  3 Pt 2.56-2.79
Te 0.8635 0.2500 0.1775  3 Pt 2.56-2.79
Pt 0.0159 0.2500 0.5002  7 Pt 2.72-2.84, 1 Ce 2.74
Pt 0.0851 0.7500 0.0634  1 Te 2.56, 2 Pt 2.76
Pt 0.1072 0.0017 0.2905  7 Pt 2.72-2.84, 2 Te 2.79-2.92
Pt 0.1072 0.4983 0.2905  7 Pt 2.72-2.84, 2 Te 2.79-2.92
Pt 0.1450 0.2500 0.7462  6 Pt 2.75-2.93, 2 Te 2.89, 1 Ce 3.05
Pt 0.3550 0.7500 0.2462  6 Pt 2.75-2.93, 2 Te 2.89, 1 Ce 3.05
Pt 0.3928 0.5017 0.7905  7 Pt 2.72-2.84, 2 Te 2.79-2.92
Pt 0.3928 0.9983 0.7905  7 Pt 2.72-2.84, 2 Te 2.79-2.92
Pt 0.4149 0.2500 0.5634  1 Te 2.56, 2 Pt 2.76
Pt 0.4841 0.7500 0.0002  7 Pt 2.72-2.84, 1 Ce 2.74
Pt 0.5159 0.2500 0.9998  7 Pt 2.72-2.84, 1 Ce 2.74
Pt 0.5851 0.7500 0.4366  1 Te 2.56, 2 Pt 2.76
Pt 0.6072 0.0017 0.2095  7 Pt 2.72-2.84, 2 Te 2.79-2.92
Pt 0.6072 0.4983 0.2095  7 Pt 2.72-2.84, 2 Te 2.79-2.92
Pt 0.6450 0.2500 0.7538  6 Pt 2.75-2.93, 2 Te 2.89, 1 Ce 3.05
Pt 0.8550 0.7500 0.2538  6 Pt 2.75-2.93, 2 Te 2.89, 1 Ce 3.05
Pt 0.8928 0.5017 0.7095  7 Pt 2.72-2.84, 2 Te 2.79-2.92
Pt 0.8928 0.9983 0.7095  7 Pt 2.72-2.84, 2 Te 2.79-2.92
Pt 0.9149 0.2500 0.9366  1 Te 2.56, 2 Pt 2.76
Pt 0.9841 0.7500 0.4998  7 Pt 2.72-2.84, 1 Ce 2.74



[3]
DFT (PBE) results for CaCdIr3 after structural relaxation.

Summary:
The value obtained for the calculated total energy is -4.4091 eV per atom. The formation energy is 1490.8 meV per atom. As for the space group: Pm-3m, No. 221.

Unit cell a=4.9157 b=4.9157 c=4.9157 alpha=90.00 beta=90.00 gamma=90.00
Last column: nearest neighbours and their distance in Å.
Element x y z (fractional)
Ca 0.0000 0.0000 0.0000  12 Ir 3.48
Cd 0.5000 0.5000 0.5000  6 Ir 2.46
Ir 0.0000 0.5000 0.5000  2 Cd 2.46
Ir 0.5000 0.0000 0.5000  2 Cd 2.46
Ir 0.5000 0.5000 0.0000  2 Cd 2.46